# 1
# CaLa3Ru | Alexandria | GGA-PBE | optimized geometry
data_CaLa3Ru
_chemical_formula_sum 'Ca3 La9 Ru3'
_cell_length_a 7.4749
_cell_length_b 7.4749
_cell_length_c 10.7378
_cell_angle_alpha 90.00
_cell_angle_beta 90.00
_cell_angle_gamma 120.00
_symmetry_space_group_name_H-M 'R 3 m'
_symmetry_Int_Tables_number 160
_symmetry_space_group_name_Hall 'R 3 -2"'
loop_
_atom_site_label
_atom_site_type_symbol
_atom_site_fract_x
_atom_site_fract_y
_atom_site_fract_z
Ca1 Ca 0.0000 0.0000 0.0000
La1 La 0.0078 0.5039 0.0693
Ru1 Ru 0.0000 0.0000 0.2611
# Mass density, kg/m3: 5349
# Calculated formation energy, eV per atom: 0.063
# Energy, eV/atom: -5.149

# 2
# Mg2ZrSe | Alexandria | GGA-PBE | optimized geometry
data_Mg2ZrSe
_chemical_formula_sum 'Mg4 Zr2 Se2'
_cell_length_a 4.2144
_cell_length_b 4.2144
_cell_length_c 9.1758
_cell_angle_alpha 90.00
_cell_angle_beta 90.00
_cell_angle_gamma 90.00
_symmetry_space_group_name_H-M 'I -4 m 2'
_symmetry_Int_Tables_number 119
_symmetry_space_group_name_Hall 'I -4 -2'
loop_
_atom_site_label
_atom_site_type_symbol
_atom_site_fract_x
_atom_site_fract_y
_atom_site_fract_z
Mg1 Mg 0.0000 0.0000 0.0000
Mg2 Mg 0.0000 0.5000 0.2500
Zr1 Zr 0.0000 0.0000 0.5000
Se1 Se 0.0000 0.5000 0.7500
# Mass density, kg/m3: 4459
# Formation energy without anion corrections, eV per atom: -0.300
# Energy, eV/atom: -4.105

# 3
# YSi2GeRh | Alexandria | GGA-PBE | optimized geometry
data_YSi2GeRh
_chemical_formula_sum 'Y1 Si2 Ge1 Rh1'
_cell_length_a 4.5775
_cell_length_b 4.5775
_cell_length_c 5.3011
_cell_angle_alpha 90.00
_cell_angle_beta 90.00
_cell_angle_gamma 90.00
_symmetry_space_group_name_H-M 'P 4/m m m'
_symmetry_Int_Tables_number 123
_symmetry_space_group_name_Hall '-P 4 2'
loop_
_atom_site_label
_atom_site_type_symbol
_atom_site_fract_x
_atom_site_fract_y
_atom_site_fract_z
Y1 Y 0.0000 0.0000 0.0000
Si1 Si 0.0000 0.5000 0.5000
Ge1 Ge 0.0000 0.0000 0.5000
Rh1 Rh 0.5000 0.5000 0.0000
# Mass density, kg/m3: 4793
# Formation energy without anion corrections, eV per atom: 0.736
# Energy, eV/atom: -5.120